Entry 1:
Material: HfFeTc
Method: DFT, GGA-PBE
State: relaxed

For the energy relative to the elements, the calculation gives -315 meV/atom. The value obtained for the total energy is -9.910 eV per atom. The density of states at the Fermi level is 0.859 states/eV/atom. As for the space group: Imma (74). As for the crystal system: orthorhombic.

Cell lengths 5.1386, 5.1386, 5.1386 Å; angles 121.82, 120.45, 88.05 degrees
Atoms (fractional coordinates):
Hf 0.3745 0.1245 0.2500
Hf 0.6255 0.8755 0.7500
Fe 0.0000 0.0000 0.5000
Fe 0.0000 0.5000 0.0000
Tc 0.0000 0.5000 0.5000
Tc 0.5000 0.5000 0.0000



Entry 2:
Material: HfFe5Tc
Method: DFT, GGA-PBE
State: relaxed

For the energy relative to the elements, the calculation gives -115 meV/atom. The value obtained for the total energy is -9.063 eV per atom. The density of states at the Fermi level is 0.983 states/eV/atom. As for the space group: Pnma (62). As for the crystal system: orthorhombic.

Cell lengths 7.7790, 4.6642, 9.8442 Å; angles 90.00, 90.00, 90.00 degrees
Atoms (fractional coordinates):
Hf 0.2462 0.2500 0.0606
Hf 0.2538 0.7500 0.5606
Hf 0.7462 0.2500 0.4394
Hf 0.7538 0.7500 0.9394
Fe 0.0569 0.7500 0.0845
Fe 0.0713 0.0054 0.3070
Fe 0.0713 0.4946 0.3070
Fe 0.0851 0.2500 0.5215
Fe 0.1866 0.2500 0.7511
Fe 0.3134 0.7500 0.2511
Fe 0.4149 0.7500 0.0215
Fe 0.4287 0.5054 0.8070
Fe 0.4287 0.9946 0.8070
Fe 0.4431 0.2500 0.5845
Fe 0.5569 0.7500 0.4155
Fe 0.5713 0.0054 0.1930
Fe 0.5713 0.4946 0.1930
Fe 0.5851 0.2500 0.9785
Fe 0.6866 0.2500 0.7489
Fe 0.8134 0.7500 0.2489
Fe 0.9149 0.7500 0.4785
Fe 0.9287 0.5054 0.6930
Fe 0.9287 0.9946 0.6930
Fe 0.9431 0.2500 0.9155
Tc 0.1339 0.7500 0.8521
Tc 0.3661 0.2500 0.3521
Tc 0.6339 0.7500 0.6479
Tc 0.8661 0.2500 0.1479



Entry 3:
Material: Hf4FeTc
Method: DFT, GGA-PBE
State: relaxed

For the energy relative to the elements, the calculation gives -15 meV/atom. The value obtained for the total energy is -9.788 eV per atom. The density of states at the Fermi level is 1.015 states/eV/atom. As for the space group: C2/m (12). As for the crystal system: monoclinic.

Cell lengths 4.4745, 4.4745, 7.6039 Å; angles 107.12, 107.12, 59.91 degrees
Atoms (fractional coordinates):
Hf 0.1219 0.1219 0.3657
Hf 0.3721 0.3721 0.1158
Hf 0.6279 0.6279 0.8842
Hf 0.8781 0.8781 0.6343
Fe 0.0000 0.0000 0.0000
Tc 0.5000 0.5000 0.5000



Entry 4:
Material: Hf8FeTc2
Method: DFT, GGA-PBE
State: relaxed

For the energy relative to the elements, the calculation gives -126 meV/atom. The value obtained for the total energy is -10.019 eV per atom. The density of states at the Fermi level is 0.890 states/eV/atom. As for the space group: C2/m (12). As for the crystal system: monoclinic.

Cell lengths 8.1273, 8.1273, 6.3920 Å; angles 106.85, 106.85, 32.72 degrees
Atoms (fractional coordinates):
Hf 0.0202 0.0202 0.2673
Hf 0.1971 0.1971 0.7865
Hf 0.3395 0.3395 0.5532
Hf 0.4049 0.4049 0.0505
Hf 0.5951 0.5951 0.9495
Hf 0.6605 0.6605 0.4468
Hf 0.8029 0.8029 0.2135
Hf 0.9798 0.9798 0.7327
Fe 0.5000 0.5000 0.5000
Tc 0.1830 0.1830 0.1893
Tc 0.8170 0.8170 0.8107



Entry 5:
Material: HfFeTc
Method: DFT, GGA-PBE
State: relaxed

For the energy relative to the elements, the calculation gives -102 meV/atom. The value obtained for the total energy is -9.696 eV per atom. The density of states at the Fermi level is 1.089 states/eV/atom. As for the space group: I4mm (107). As for the crystal system: tetragonal.

Cell lengths 5.2090, 5.2090, 5.2090 Å; angles 144.61, 144.61, 50.92 degrees
Atoms (fractional coordinates):
Hf 0.0000 0.0000 0.0000
Fe 0.6781 0.6781 0.0000
Tc 0.3200 0.3200 0.0000



Entry 6:
Material: HfFeTc3
Method: DFT, GGA-PBE
State: relaxed

For the energy relative to the elements, the calculation gives 2338 meV/atom. The value obtained for the total energy is -7.565 eV per atom. The density of states at the Fermi level is 2.173 states/eV/atom. As for the space group: Pm-3m (221). As for the crystal system: cubic.

Cell lengths 4.6606, 4.6606, 4.6606 Å; angles 90.00, 90.00, 90.00 degrees
Atoms (fractional coordinates):
Hf 0.0000 0.0000 0.0000
Fe 0.5000 0.5000 0.5000
Tc 0.0000 0.0000 0.5000
Tc 0.0000 0.5000 0.0000
Tc 0.5000 0.0000 0.0000



Entry 7:
Material: Hf5FeTc4
Method: DFT, GGA-PBE
State: relaxed

For the energy relative to the elements, the calculation gives -440 meV/atom. The value obtained for the total energy is -10.410 eV per atom. The density of states at the Fermi level is 0.943 states/eV/atom. As for the space group: P4/mmm (123). As for the crystal system: tetragonal.

Cell lengths 3.2432, 3.2432, 16.2043 Å; angles 90.00, 90.00, 90.00 degrees
Atoms (fractional coordinates):
Hf 0.0000 0.0000 0.0000
Hf 0.0000 0.0000 0.2028
Hf 0.0000 0.0000 0.4036
Hf 0.0000 0.0000 0.5964
Hf 0.0000 0.0000 0.7972
Fe 0.5000 0.5000 0.5000
Tc 0.5000 0.5000 0.1010
Tc 0.5000 0.5000 0.3042
Tc 0.5000 0.5000 0.6958
Tc 0.5000 0.5000 0.8990



Entry 8:
Material: Hf3Fe8Tc
Method: DFT, GGA-PBE
State: relaxed

For the energy relative to the elements, the calculation gives -239 meV/atom. The value obtained for the total energy is -9.233 eV per atom. The density of states at the Fermi level is 0.895 states/eV/atom. As for the space group: R3m (160). As for the crystal system: trigonal.

Cell lengths 8.4661, 8.4661, 8.4661 Å; angles 33.53, 33.53, 33.53 degrees
Atoms (fractional coordinates):
Hf 0.0000 0.0000 0.0000
Hf 0.1285 0.1285 0.1285
Hf 0.6194 0.6194 0.6194
Fe 0.0604 0.0604 0.5640
Fe 0.0604 0.5640 0.0604
Fe 0.0631 0.5619 0.5619
Fe 0.3116 0.3116 0.3116
Fe 0.5619 0.0631 0.5619
Fe 0.5619 0.5619 0.0631
Fe 0.5640 0.0604 0.0604
Fe 0.8123 0.8123 0.8123
Tc 0.4975 0.4975 0.4975



Entry 9:
Material: HfTiFeTc2
Method: DFT, GGA-PBE
State: relaxed

For the energy relative to the elements, the calculation gives 751 meV/atom. The value obtained for the total energy is -8.657 eV per atom. The density of states at the Fermi level is 1.109 states/eV/atom. As for the space group: P4/mmm (123). As for the crystal system: tetragonal.

Cell lengths 4.5711, 4.5711, 4.1968 Å; angles 90.00, 90.00, 90.00 degrees
Atoms (fractional coordinates):
Hf 0.0000 0.0000 0.0000
Ti 0.5000 0.5000 0.5000
Fe 0.5000 0.5000 0.0000
Tc 0.0000 0.5000 0.5000
Tc 0.5000 0.0000 0.5000



Entry 10:
Material: HfTiFeTc
Method: DFT, GGA-PBE
State: relaxed

For the energy relative to the elements, the calculation gives -383 meV/atom. The value obtained for the total energy is -9.552 eV per atom. The density of states at the Fermi level is 0.771 states/eV/atom. As for the space group: Pmmm (47). As for the crystal system: orthorhombic.

Cell lengths 3.1367, 4.3512, 4.4762 Å; angles 90.00, 90.00, 90.00 degrees
Atoms (fractional coordinates):
Hf 0.0000 0.0000 0.0000
Ti 0.0000 0.5000 0.5000
Fe 0.5000 0.5000 0.0000
Tc 0.5000 0.0000 0.5000



Entry 11:
Material: TmHfFeTc
Method: DFT, GGA-PBE
State: relaxed

For the energy relative to the elements, the calculation gives -112 meV/atom. The value obtained for the total energy is -8.425 eV per atom. The density of states at the Fermi level is 1.333 states/eV/atom. As for the space group: F-43m (216). As for the crystal system: cubic.

Cell lengths 4.6363, 4.6363, 4.6363 Å; angles 60.00, 60.00, 60.00 degrees
Atoms (fractional coordinates):
Tm 0.0000 0.0000 0.0000
Hf 0.5000 0.5000 0.5000
Fe 0.7500 0.7500 0.7500
Tc 0.2500 0.2500 0.2500



Entry 12:
Material: HfUFeTc
Method: DFT, GGA-PBE
State: relaxed

For the energy relative to the elements, the calculation gives -65 meV/atom. The value obtained for the total energy is -10.082 eV per atom. The density of states at the Fermi level is 2.074 states/eV/atom. As for the space group: F-43m (216). As for the crystal system: cubic.

Cell lengths 4.6307, 4.6307, 4.6307 Å; angles 60.00, 60.00, 60.00 degrees
Atoms (fractional coordinates):
Hf 0.0000 0.0000 0.0000
U 0.5000 0.5000 0.5000
Fe 0.2500 0.2500 0.2500
Tc 0.7500 0.7500 0.7500



The highest energy relative to the elements belongs to which entry? HfFeTc3